A plane-wave DFT calculation with PBE was carried out for crystalline RbNaNpF6 at its relaxed geometry.

Properties
Formation energy without anion corrections = -3222 meV per atom
Space-group type = No. 163
Theoretical density = 4.0 Mg/m³

```
data_RbNaNpF6
_cell_length_a 6.1246
_cell_length_b 6.1246
_cell_length_c 11.6999
_cell_angle_alpha 90.00
_cell_angle_beta 90.00
_cell_angle_gamma 120.00
_space_group_name_H-M_alt 'P 1'
_space_group_IT_number 1
loop_
_space_group_symop_operation_xyz
'x,y,z'
loop_
_atom_site_label
_atom_site_type_symbol
_atom_site_fract_x
_atom_site_fract_y
_atom_site_fract_z
Rb1 Rb 0.0000 0.0000 0.0000
Rb2 Rb 0.0000 0.0000 0.5000
Na1 Na 0.3333 0.6667 0.2500
Na2 Na 0.6667 0.3333 0.7500
Np1 Np 0.3333 0.6667 0.7500
Np2 Np 0.6667 0.3333 0.2500
F1 F 0.0231 0.3823 0.6490
F2 F 0.0231 0.6408 0.8510
F3 F 0.3592 0.3823 0.8510
F4 F 0.3592 0.9769 0.6490
F5 F 0.3823 0.0231 0.1490
F6 F 0.3823 0.3592 0.3510
F7 F 0.6177 0.6408 0.6490
F8 F 0.6177 0.9769 0.8510
F9 F 0.6408 0.0231 0.3510
F10 F 0.6408 0.6177 0.1490
F11 F 0.9769 0.3592 0.1490
F12 F 0.9769 0.6177 0.3510
```